Record 1
VASP calculation (PBE) on a relaxed LiIn2Ni crystal.

Summary:
Crystal system: orthorhombic
Energy relative to the elements, eV/atom: -0.07

Cell: 3.2765 3.4941 6.2375 Å, 90.00 90.00 90.00°
Sites, in units of the cell vectors:
Li (0.0000, 0.0000, 0.0000)
In (0.0000, 0.0000, 0.4193)
In (0.5000, 0.5000, 0.7674)
Ni (0.5000, 0.5000, 0.2131)

---

Record 2
VASP calculation (PBE) on a relaxed LiTa2Cl crystal.

Summary:
Energy above the lowest structure with this stoichiometry, meV/atom: 1039
E_form (uncorrected), eV/f.u.: 3.622
Crystal system: cubic

Cell: 4.4706 4.4706 4.4706 Å, 60.00 60.00 60.00°
Sites, in units of the cell vectors:
Li (0.0000, 0.0000, 0.0000)
Ta (0.2500, 0.2500, 0.2500)
Ta (0.7500, 0.7500, 0.7500)
Cl (0.5000, 0.5000, 0.5000)

---

Record 3
VASP calculation (PBE) on a relaxed LiTlCu2 crystal.

Summary:
Crystal system: tetragonal
Energy relative to the elements, eV/atom: 0.06

Cell: 3.8890 3.8890 4.1065 Å, 90.00 90.00 90.00°
Sites, in units of the cell vectors:
Li (0.0000, 0.0000, 0.0000)
Tl (0.5000, 0.5000, 0.0000)
Cu (0.0000, 0.5000, 0.5000)
Cu (0.5000, 0.0000, 0.5000)

---

Record 4
VASP calculation (PBE) on a relaxed Hg2TePt crystal.

Summary:
E_form (uncorrected), eV/f.u.: 0.728
Crystal system: orthorhombic

Cell: 3.0829 3.0829 10.0087 Å, 90.00 90.00 90.29°
Sites, in units of the cell vectors:
Hg (0.0000, 0.0000, 0.1945)
Hg (0.0000, 0.0000, 0.8055)
Te (0.5000, 0.5000, 0.5000)
Pt (0.5000, 0.5000, 0.0000)

---

Record 5
VASP calculation (PBE) on a relaxed CaZnSe2 crystal.

Summary:
E_form (uncorrected), eV/f.u.: -4.898
Crystal system: monoclinic

Cell: 4.2576 4.1074 6.0823 Å, 90.00 94.62 90.00°
Sites, in units of the cell vectors:
Ca (0.0000, 0.0000, 0.0000)
Zn (0.7231, 0.5000, 0.3991)
Se (0.4988, 0.5000, 0.0189)
Se (0.9939, 0.0000, 0.5143)

---

Record 6
VASP calculation (PBE) on a relaxed Na2Ag2PdCl6 crystal.

Summary:
E_form (uncorrected), eV/f.u.: -9.724
Crystal system: monoclinic

Cell: 6.7692 6.7692 6.7415 Å, 99.64 99.64 118.81°
Sites, in units of the cell vectors:
Na (0.1632, 0.8368, 0.0000)
Na (0.8368, 0.1632, 0.0000)
Ag (0.3226, 0.6774, 0.5000)
Ag (0.6774, 0.3226, 0.5000)
Pd (0.5000, 0.5000, 0.0000)
Cl (0.1166, 0.4355, 0.7568)
Cl (0.2765, 0.2765, 0.2280)
Cl (0.4355, 0.1166, 0.7568)
Cl (0.5645, 0.8834, 0.2432)
Cl (0.7235, 0.7235, 0.7720)
Cl (0.8834, 0.5645, 0.2432)

---

Record 7
VASP calculation (PBE) on a relaxed CePm4Pr4 crystal.

Summary:
Crystal system: tetragonal
Energy relative to the elements, eV/atom: 0.04

Cell: 8.2050 8.2050 8.2050 Å, 95.72 95.72 143.19°
Sites, in units of the cell vectors:
Ce (0.0000, 0.0000, 0.0000)
Pm (0.0000, 0.3323, 0.3323)
Pm (0.0000, 0.6677, 0.6677)
Pm (0.3323, 0.0000, 0.3323)
Pm (0.6677, 0.0000, 0.6677)
Pr (0.3359, 0.3359, 0.6718)
Pr (0.3359, 0.6641, 0.0000)
Pr (0.6641, 0.3359, 0.0000)
Pr (0.6641, 0.6641, 0.3282)

---

Record 8
VASP calculation (PBE) on a relaxed Pm5Sm5Ho crystal.

Summary:
Energy above the lowest structure with this stoichiometry, meV/atom: 163
Crystal system: hexagonal
Energy relative to the elements, eV/atom: 0.30

Cell: 6.1832 6.1832 11.6460 Å, 90.00 90.00 120.00°
Sites, in units of the cell vectors:
Pm (0.0000, 0.0000, 0.0000)
Pm (0.3333, 0.6667, 0.3173)
Pm (0.3333, 0.6667, 0.6827)
Pm (0.6667, 0.3333, 0.1566)
Pm (0.6667, 0.3333, 0.8434)
Sm (0.0000, 0.0000, 0.2641)
Sm (0.0000, 0.0000, 0.7359)
Sm (0.3378, 0.1689, 0.5000)
Sm (0.8311, 0.1689, 0.5000)
Sm (0.8311, 0.6622, 0.5000)
Ho (0.3333, 0.6667, 0.0000)

---

Record 9
VASP calculation (PBE) on a relaxed TmAlIr crystal.

Summary:
Crystal system: tetragonal
Energy relative to the elements, eV/atom: -0.73

Cell: 6.0127 6.0127 6.0127 Å, 149.71 149.71 43.37°
Sites, in units of the cell vectors:
Tm (0.0000, 0.0000, 0.0000)
Al (0.7083, 0.7083, 0.0000)
Ir (0.3280, 0.3280, 0.0000)

---

Record 10
VASP calculation (PBE) on a relaxed BaNaCa2Ir crystal.

Summary:
Energy above the lowest structure with this stoichiometry, meV/atom: 0
Crystal system: tetragonal
Energy relative to the elements, eV/atom: -0.15

Cell: 5.6497 5.6497 6.1303 Å, 90.00 90.00 90.00°
Sites, in units of the cell vectors:
Ba (0.0000, 0.0000, 0.0000)
Na (0.5000, 0.5000, 0.0000)
Ca (0.0000, 0.5000, 0.5000)
Ca (0.5000, 0.0000, 0.5000)
Ir (0.0000, 0.0000, 0.5000)

---

Record 11
VASP calculation (PBE) on a relaxed La8Ge2Os crystal.

Summary:
Crystal system: monoclinic
Energy relative to the elements, eV/atom: -0.30

Cell: 8.2111 8.2111 6.1440 Å, 104.38 104.38 115.30°
Sites, in units of the cell vectors:
La (0.0000, 0.0000, 0.0000)
La (0.0655, 0.2822, 0.6115)
La (0.1090, 0.5357, 0.1609)
La (0.2822, 0.0655, 0.6115)
La (0.4601, 0.6818, 0.7305)
La (0.5357, 0.1090, 0.1609)
La (0.6818, 0.4601, 0.7305)
La (0.7180, 0.7180, 0.3445)
Ge (0.0840, 0.6874, 0.7013)
Ge (0.6874, 0.0840, 0.7013)
Os (0.3549, 0.3549, 0.1945)

---

Record 12
VASP calculation (PBE) on a relaxed CaAsI2O crystal.

Summary:
Energy above the lowest structure with this stoichiometry, meV/atom: 379
E_form (uncorrected), eV/f.u.: -1.351
Crystal system: tetragonal

Cell: 6.0930 6.0930 4.1096 Å, 90.00 90.00 90.00°
Sites, in units of the cell vectors:
Ca (0.0000, 0.0000, 0.0000)
As (0.5000, 0.5000, 0.5000)
I (0.0000, 0.5000, 0.0000)
I (0.5000, 0.0000, 0.0000)
O (0.0000, 0.0000, 0.5000)

---

Values of N(E_F), in order: 0.386, 1.205, 0.467, 0.427, 0.000, 0.143, 1.955, 1.666, 0.420, 0.724, 1.080, 1.202, all in states/eV per atom.